Record 1
DFT (GGA-PBE) results for a geometry-optimized Sc2CrTc structure.

Cell: 9.684 9.684 9.684 Å, 17.51 17.51 17.51°
Sites, in units of the cell vectors:
Tc1 0.000 0.000 0.000
Cr1 0.500 0.500 0.500
Sc1 0.911 0.911 0.911
Sc2 0.089 0.089 0.089

- SG: R-3m, No. 166
- Distance to the lowest polymorph of the same formula: 0.6193 eV per atom
- D(E_F): 4.7 states/eV per cell
- Formation energy: 0.578 eV/atom
- Total magnetization: 1.8 μB/cell

Record 2
DFT (GGA-PBE) results for a geometry-optimized BaMoCl2 structure.

Cell: 5.107 5.108 4.156 Å, 90.00 90.00 89.53°
Sites, in units of the cell vectors:
Mo1 0.500 0.000 0.500
Cl1 0.000 0.000 0.000
Cl2 0.500 0.500 0.000
Ba1 0.000 0.500 0.500

- SG: Cmmm, No. 65
- Distance to the lowest polymorph of the same formula: 0.2384 eV per atom
- D(E_F): 2.1 states/eV per cell
- Raw formation energy: -298.4 meV/atom
- Total magnetization: 5.1 μB/cell

Record 3
DFT (GGA-PBE) results for a geometry-optimized CuAgCl2 structure.

Cell: 3.773 4.254 5.730 Å, 87.87 90.00 90.00°
Sites, in units of the cell vectors:
Ag1 0.500 0.576 0.844
Cl1 0.000 0.045 0.829
Cu1 0.000 0.361 0.512
Cl2 0.500 0.518 0.316

- SG: Pm, No. 6
- D(E_F): 0.2 states/eV per cell
- Raw formation energy: -402.7 meV/atom
- Total magnetization: 0.0 μB/cell

Record 4
DFT (GGA-PBE) results for a geometry-optimized KCoPt2 structure.

Cell: 9.925 9.925 9.925 Å, 16.35 16.35 16.35°
Sites, in units of the cell vectors:
K1 0.750 0.750 0.750
Co1 0.250 0.250 0.250
Pt1 0.987 0.987 0.987
Pt2 0.513 0.513 0.513

- SG: R-3m, No. 166
- Distance to the lowest polymorph of the same formula: 0.1247 eV per atom
- D(E_F): 5.2 states/eV per cell
- Formation energy: 0.229 eV/atom
- Total magnetization: 2.2 μB/cell

Record 5
DFT (GGA-PBE) results for a geometry-optimized CeHo5Sc3 structure.

Cell: 8.874 8.874 9.903 Å, 60.45 60.45 72.95°
Sites, in units of the cell vectors:
Ho1 0.310 0.690 0.000
Ho2 0.417 0.925 0.400
Sc1 0.694 0.694 0.666
Ho3 0.075 0.583 0.600
Ho4 0.775 0.775 0.923
Sc2 0.250 0.250 0.709
Sc3 0.000 0.000 0.500
Ho5 0.925 0.417 0.400
Ho6 0.480 0.480 0.677
Ce1 0.064 0.064 0.695
Ho7 0.225 0.225 0.077
Ho8 0.690 0.310 0.000
Ho9 0.583 0.075 0.600
Ce2 0.936 0.936 0.305
Sc4 0.306 0.306 0.334
Sc5 0.750 0.750 0.291
Ho10 0.520 0.520 0.323
Sc6 0.000 0.000 0.000

- SG: C2/m, No. 12
- D(E_F): 30.2 states/eV per cell
- Formation energy: 0.593 eV/atom
- Total magnetization: 1.5 μB/cell

Record 6
DFT (GGA-PBE) results for a geometry-optimized CeDy4Te5 structure.

Cell: 4.358 7.635 9.778 Å, 74.93 77.12 73.42°
Sites, in units of the cell vectors:
Dy1 0.797 0.605 0.800
Te1 0.796 0.100 0.308
Te2 0.204 0.900 0.692
Te3 0.395 0.312 0.897
Te4 0.000 0.500 0.500
Dy2 0.403 0.800 0.394
Dy3 0.597 0.200 0.606
Te5 0.605 0.688 0.103
Ce1 0.000 0.000 0.000
Dy4 0.203 0.395 0.200

- SG: C2/m, No. 12
- Distance to the lowest polymorph of the same formula: 0.0000 eV per atom
- D(E_F): 11.1 states/eV per cell
- Raw formation energy: -1302.1 meV/atom
- Total magnetization: 1.3 μB/cell

Record 7
DFT (GGA-PBE) results for a geometry-optimized Ag2BiOsO structure.

Cell: 5.405 4.239 5.405 Å, 90.00 90.00 90.00°
Sites, in units of the cell vectors:
O1 0.000 0.500 0.000
Bi1 0.000 0.000 0.000
Ag1 0.000 0.000 0.500
Ag2 0.500 0.000 0.000
Os1 0.500 0.500 0.500

- SG: P4/mmm, No. 123
- D(E_F): 4.1 states/eV per cell
- Raw formation energy: 1455.8 meV/atom
- Total magnetization: 3.8 μB/cell

Record 8
DFT (GGA-PBE) results for a geometry-optimized HfFeIN2 structure.

Cell: 4.117 4.117 5.987 Å, 90.00 90.00 90.00°
Sites, in units of the cell vectors:
Fe1 0.500 0.500 0.500
I1 0.000 0.000 0.500
N1 0.500 0.000 0.000
N2 0.000 0.500 0.000
Hf1 0.000 0.000 0.000

- SG: P4/mmm, No. 123
- Distance to the lowest polymorph of the same formula: 0.0000 eV per atom
- D(E_F): 5.2 states/eV per cell
- Raw formation energy: 657.3 meV/atom
- Total magnetization: 4.1 μB/cell